(1)
Compound: Ca2InCl
Source: Alexandria
Functional: PBEsol
Structure: optimized geometry

Summary:
* size of the total moment: 0.0 μB per formula unit
* relative energy among the computed polymorphs: 0 meV per atom
* DOS at the Fermi energy: 1.3 states/eV/cell
* uncorrected formation energy: -1099 meV/atom
* electronic total energy: -3.41 eV/atom

a = 3.596 Å, b = 3.848 Å, c = 8.205 Å
α = 90.11°, β = 90.00°, γ = 90.00°
Atoms (fractional coordinates):
Cl (0.500, 0.000, 0.500)
Ca (0.000, 0.999, 0.766)
Ca (0.000, 0.001, 0.234)
In (0.500, 0.500, 0.000)

(2)
Compound: ScAgN2
Source: Alexandria
Functional: PBEsol
Structure: optimized geometry

Summary:
* size of the total moment: 1.4 μB per formula unit
* DOS at the Fermi energy: 3.8 states/eV/cell
* uncorrected formation energy: -44 meV/atom
* electronic total energy: -6.79 eV/atom

a = 3.279 Å, b = 3.279 Å, c = 6.339 Å
α = 75.01°, β = 75.01°, γ = 60.00°
Atoms (fractional coordinates):
Sc (0.500, 0.500, 0.500)
Ag (0.000, 0.000, 0.000)
N (0.891, 0.891, 0.327)
N (0.109, 0.109, 0.673)

(3)
Compound: Li3SnP6O18
Source: Alexandria
Functional: PBEsol
Structure: optimized geometry

Summary:
* size of the total moment: 1.0 μB per formula unit
* DOS at the Fermi energy: 1.3 states/eV/cell
* uncorrected formation energy: -2102 meV/atom
* electronic total energy: -7.08 eV/atom

a = 7.522 Å, b = 7.214 Å, c = 7.390 Å
α = 110.65°, β = 109.76°, γ = 99.03°
Atoms (fractional coordinates):
Li (0.170, 0.679, 0.847)
Li (0.853, 0.620, 0.441)
Li (0.465, 0.504, 0.006)
P (0.467, 0.227, 0.273)
P (0.523, 0.795, 0.749)
P (0.239, 0.012, 0.676)
P (0.746, 0.996, 0.319)
P (0.233, 0.676, 0.318)
P (0.768, 0.338, 0.678)
O (0.068, 0.514, 0.309)
O (0.212, 0.902, 0.426)
O (0.792, 0.111, 0.567)
O (0.541, 0.303, 0.527)
O (0.461, 0.004, 0.796)
O (0.572, 0.384, 0.225)
O (0.903, 0.502, 0.664)
O (0.253, 0.234, 0.747)
O (0.094, 0.861, 0.696)
O (0.731, 0.774, 0.261)
O (0.421, 0.654, 0.815)
O (0.894, 0.134, 0.285)
O (0.251, 0.636, 0.115)
O (0.443, 0.694, 0.492)
O (0.777, 0.357, 0.891)
O (0.243, 0.149, 0.176)
O (0.530, 0.018, 0.208)
O (0.748, 0.867, 0.844)
Sn (0.957, 0.192, 0.055)

(4)
Compound: Tl2HBr
Source: Alexandria
Functional: PBEsol
Structure: optimized geometry

Summary:
* size of the total moment: 0.0 μB per formula unit
* DOS at the Fermi energy: 0.1 states/eV/cell
* electronic total energy: -2.61 eV/atom

a = 5.217 Å, b = 5.217 Å, c = 5.217 Å
α = 60.00°, β = 60.00°, γ = 60.00°
Atoms (fractional coordinates):
Tl (0.750, 0.750, 0.750)
Tl (0.250, 0.250, 0.250)
H (0.000, 0.000, 0.000)
Br (0.500, 0.500, 0.500)